Entry 1:
A relaxed LiEr2PaP4 crystal, computed with PBE.

Cell lengths 4.0107, 6.7037, 6.8708 Å; angles 108.50, 90.00, 90.00 degrees
Atoms (fractional coordinates):
Li 0.5000 0.5000 0.0000
Pa 0.0000 0.0000 0.0000
Er 0.5000 0.0000 0.5000
Er 0.0000 0.5000 0.5000
P 0.0000 0.2397 0.7517
P 0.0000 0.7603 0.2483
P 0.5000 0.2496 0.2446
P 0.5000 0.7504 0.7554

## Properties
Total magnetic moment (μB/f.u.): 0.0
Calculated formation energy (eV/f.u.): -9.5
D(E_F) (states/eV/cell): 2.1


Entry 2:
A relaxed Li2ErP2Pt2 crystal, computed with PBE.

Cell lengths 4.0920, 4.0920, 8.0297 Å; angles 75.24, 75.24, 60.00 degrees
Atoms (fractional coordinates):
Li 0.8574 0.8574 0.4277
P 0.7461 0.7461 0.7618
P 0.2539 0.2539 0.2382
Pt 0.4217 0.4217 0.7348
Pt 0.5783 0.5783 0.2652
Li 0.1426 0.1426 0.5723
Er 0.0000 0.0000 0.0000

## Properties
Total magnetic moment (μB/f.u.): 0.0
Calculated formation energy (eV/f.u.): -7.1
D(E_F) (states/eV/cell): 1.5


Entry 3:
A relaxed LiEr2P3Rh12 crystal, computed with PBE.

Cell lengths 6.6248, 6.6248, 6.6248 Å; angles 82.77, 82.77, 82.77 degrees
Atoms (fractional coordinates):
Rh 0.8261 0.3267 0.8261
Rh 0.3698 0.3698 0.9069
Er 0.3730 0.3730 0.3730
Rh 0.8261 0.8261 0.3267
Rh 0.1739 0.6733 0.1739
Rh 0.3698 0.9069 0.3698
Rh 0.1739 0.1739 0.6733
Li 0.0000 0.0000 0.0000
P 0.5000 0.0000 0.0000
Rh 0.3267 0.8261 0.8261
P 0.0000 0.0000 0.5000
Rh 0.6302 0.6302 0.0931
Rh 0.6302 0.0931 0.6302
Rh 0.0931 0.6302 0.6302
Rh 0.9069 0.3698 0.3698
Rh 0.6733 0.1739 0.1739
Er 0.6270 0.6270 0.6270
P 0.0000 0.5000 0.0000

## Properties
Total magnetic moment (μB/f.u.): 0.0
Calculated formation energy (eV/f.u.): -6.5
D(E_F) (states/eV/cell): 14.6


Entry 4:
A relaxed LiEr6P2S3 crystal, computed with PBE.

Cell lengths 3.9269, 7.9159, 8.8230 Å; angles 104.12, 102.86, 90.00 degrees
Atoms (fractional coordinates):
Er 0.3300 0.4235 0.6600
S 0.1676 0.8310 0.3352
P 0.1643 0.3293 0.3286
Er 0.9991 0.2680 0.9982
Er 0.3273 0.9104 0.6546
Er 0.6700 0.5765 0.3400
Er 0.0009 0.7320 0.0018
Li 0.5000 0.0000 0.0000
Er 0.6727 0.0896 0.3454
P 0.8357 0.6707 0.6714
S 0.8324 0.1690 0.6648
S 0.5000 0.5000 0.0000

## Properties
Energy relative to the elements, uncorrected (eV/atom): -1.46
Total magnetic moment (μB/f.u.): 0.0
D(E_F) (states/eV/cell): 5.0


Entry 5:
A relaxed LiErTh2P4 crystal, computed with PBE.

Cell lengths 4.1392, 7.1492, 6.8607 Å; angles 109.94, 90.00, 90.00 degrees
Atoms (fractional coordinates):
Th 0.5000 0.0000 0.5000
P 0.5000 0.2472 0.2425
Li 0.5000 0.5000 0.0000
P 0.0000 0.2468 0.7490
Er 0.0000 0.0000 0.0000
P 0.5000 0.7528 0.7575
Th 0.0000 0.5000 0.5000
P 0.0000 0.7532 0.2510

## Properties
Total magnetic moment (μB/f.u.): 0.0
Calculated formation energy (eV/f.u.): -9.9
D(E_F) (states/eV/cell): 2.4


Entry 6:
A relaxed LiEr2ZrP4 crystal, computed with PBE.

Cell lengths 3.8582, 6.7939, 6.6135 Å; angles 109.66, 90.00, 90.00 degrees
Atoms (fractional coordinates):
P 0.0000 0.2470 0.7615
Er 0.5000 0.0000 0.5000
P 0.5000 0.2427 0.2374
Zr 0.0000 0.0000 0.0000
Er 0.0000 0.5000 0.5000
P 0.0000 0.7530 0.2385
P 0.5000 0.7573 0.7626
Li 0.5000 0.5000 0.0000

## Properties
Total magnetic moment (μB/f.u.): 0.0
Calculated formation energy (eV/f.u.): -8.9
D(E_F) (states/eV/cell): 3.9


Entry 7:
A relaxed LiEr2Pa crystal, computed with PBE.

Cell lengths 3.2212, 3.2212, 11.9322 Å; angles 82.24, 82.24, 60.00 degrees
Atoms (fractional coordinates):
Pa 0.0000 0.0000 0.0000
Er 0.0893 0.0893 0.7322
Er 0.9107 0.9107 0.2678
Li 0.5000 0.5000 0.5000

## Properties
Total magnetic moment (μB/f.u.): 0.0
Offset from the most stable computed form (meV per atom): 206
Calculated formation energy (eV/f.u.): 1.3
D(E_F) (states/eV/cell): 4.3


Entry 8:
A relaxed LiEr2Pa crystal, computed with PBE.

Cell lengths 3.3922, 3.3922, 9.2124 Å; angles 90.00, 90.00, 90.00 degrees
Atoms (fractional coordinates):
Pa 0.5000 0.5000 0.5000
Li 0.5000 0.5000 0.0000
Er 0.0000 0.0000 0.7497
Er 0.0000 0.0000 0.2503

## Properties
Total magnetic moment (μB/f.u.): 0.0
Offset from the most stable computed form (meV per atom): 0
Calculated formation energy (eV/f.u.): 0.5
D(E_F) (states/eV/cell): 4.5


E_tot in eV/atom, matching the order above: -6.4569, -5.4859, -6.7779, -5.8365, -6.6050, -6.2706, -4.7974, -5.0034